Record 1
This record from the Alexandria database describes crystalline HPb2F at its relaxed geometry. The functional is PBE.

The structure belongs to space group I-42d (No. 122); the cell edges are 5.596, 5.596 and 11.559 Å and the angles 90.00°, 90.00° and 90.00°. Symmetry generates all atoms from H at (0.000, 0.000, 0.000), Pb at (0.209, 0.250, 0.125) and F at (0.000, 0.000, 0.500).

The calculation puts the excess energy over the best structure of this formula in the dataset at 0 meV per atom.



Record 2
This record from the Alexandria database describes crystalline H6PbF12 at its relaxed geometry. The functional is PBE.

The structure belongs to space group R-3 (No. 148, hexagonal axes); the cell edges are 6.7685, 6.7685 and 22.8942 Å and the angles 90.00°, 90.00° and 120.00°. Symmetry generates all atoms from H at (0.0110, 0.4745, 0.4348), Pb at (0.0000, 0.0000, 0.0000), F at (0.0212, 0.2721, 0.8030) and F at (0.0511, 0.4536, 0.6134).

The calculation puts the energy at -3.83 eV per atom.



Record 3
This record from the Alexandria database describes crystalline HPbF2 at its relaxed geometry. The functional is PBE.

The structure belongs to space group P2_1/c (No. 14); the cell edges are 10.002, 4.617 and 6.632 Å and the angles 90.00°, 109.35° and 90.00°. Symmetry generates all atoms from H at (0.008, 0.083, 0.269), Pb at (0.331, 0.750, 0.166), F at (0.030, 0.229, 0.841) and F at (0.414, 0.250, 0.209).

The calculation puts the excess energy over the best structure of this formula in the dataset at 64 meV per atom.